Record 1
Density functional theory data (PBE) for crystalline TaAu2Br at its relaxed geometry.

It has space group P4/mmm (No. 123), with a = 3.093 Å, b = 3.093 Å, c = 8.438 Å, α = 90.00°, β = 90.00° and γ = 90.00°. The asymmetric unit holds Ta at (0.000, 0.000, 0.000), Au at (0.500, 0.500, 0.220) and Br at (0.000, 0.000, 0.500).

For the offset from the most stable computed form, the calculation gives 0.67 eV/f.u. The density of states at the Fermi level is 0.92 states/eV/atom. Its uncorrected formation energy is 0.169 eV/atom. As for the volume: 80.72 Å³ per cell.

---

Record 2
Density functional theory data (PBE) for crystalline Cd2ReOs at its relaxed geometry.

It has space group I-4m2 (No. 119), with a = 4.370 Å, b = 4.370 Å, c = 7.085 Å, α = 90.00°, β = 90.00° and γ = 90.00°. The asymmetric unit holds Cd at (0.000, 0.000, 0.000), Cd at (0.000, 0.500, 0.250), Re at (0.000, 0.000, 0.500) and Os at (0.000, 0.500, 0.750).

For the offset from the most stable computed form, the calculation gives 2.05 eV/f.u. The density of states at the Fermi level is 0.75 states/eV/atom. As for the volume: 135.30 Å³ per cell. As for the energy of formation: 721 meV/atom.

---

Record 3
Density functional theory data (PBE) for crystalline Ca2Ga7Pd at its relaxed geometry.

It has space group P-4m2 (No. 115), with a = 4.309 Å, b = 4.309 Å, c = 10.810 Å, α = 90.00°, β = 90.00° and γ = 90.00°. The asymmetric unit holds Ca at (0.000, 0.500, 0.243), Ga at (0.000, 0.000, 0.000), Ga at (0.000, 0.000, 0.500), Ga at (0.000, 0.500, 0.639), Ga at (0.000, 0.500, 0.870), Ga at (0.500, 0.500, 0.500) and Pd at (0.500, 0.500, 0.000).

The density of states at the Fermi level is 0.31 states/eV/atom. As for the volume: 200.68 Å³ per cell. As for the energy of formation: -471 meV/atom.

---

Record 4
Density functional theory data (PBE) for crystalline MnCr2Ag at its relaxed geometry.

It has space group Cmmm (No. 65), with a = 2.981 Å, b = 4.174 Å, c = 8.456 Å, α = 90.00°, β = 90.00° and γ = 90.00°. The asymmetric unit holds Mn at (0.000, 0.000, 0.000), Cr at (0.000, 0.500, 0.220) and Ag at (0.000, 0.000, 0.500).

For the offset from the most stable computed form, the calculation gives 0.50 eV/f.u. The density of states at the Fermi level is 1.24 states/eV/atom. As for the volume: 105.21 Å³ per cell. As for the energy of formation: 421 meV/atom.

---

Record 5
Density functional theory data (PBE) for crystalline Li4ZnRu at its relaxed geometry.

It has space group F-43m (No. 216), with a = 6.805 Å, b = 6.805 Å, c = 6.805 Å, α = 90.00°, β = 90.00° and γ = 90.00°. The asymmetric unit holds Li at (0.124, 0.124, 0.124), Zn at (0.000, 0.000, 0.500) and Ru at (0.250, 0.250, 0.750).

The density of states at the Fermi level is 0.40 states/eV/atom. As for the volume: 315.08 Å³ per cell. As for the energy of formation: 201 meV/atom.

---

Record 6
Density functional theory data (PBE) for crystalline AgBi2WCl at its relaxed geometry.

It has space group P4/mmm (No. 123), with a = 5.341 Å, b = 5.341 Å, c = 5.283 Å, α = 90.00°, β = 90.00° and γ = 90.00°. The asymmetric unit holds Ag at (0.000, 0.000, 0.000), Bi at (0.000, 0.500, 0.500), W at (0.000, 0.000, 0.500) and Cl at (0.500, 0.500, 0.000).

The density of states at the Fermi level is 0.71 states/eV/atom. Its uncorrected formation energy is 0.705 eV/atom. As for the volume: 150.69 Å³ per cell.

---

| no. | DFT total energy (eV per atom) |
| --- | --- |
| 1 | -4.8512 |
| 2 | -5.6563 |
| 3 | -3.5094 |
| 4 | -7.3962 |
| 5 | -2.8334 |
| 6 | -4.3781 |